Record 1
# BaNa2Nd2Si4CO15 | Alexandria via LeMat-Bulk | PBE-GGA | optimized geometry
# Energy relative to the elements, uncorrected (eV per formula unit): -69.08
data_BaNa2Nd2Si4CO15
_chemical_formula_sum 'Ba4 Na8 Nd8 Si16 C4 O60'
_symmetry_space_group_name_H-M 'P n m a'
_symmetry_Int_Tables_number 62
_cell_length_a 14.184
_cell_length_b 13.623
_cell_length_c 7.057
_cell_angle_alpha 90.00
_cell_angle_beta 90.00
_cell_angle_gamma 90.00
loop_
_symmetry_equiv_pos_as_xyz
'x,y,z'
'-x,-y,-z'
'-x+1/2,-y,z+1/2'
'x+1/2,y,-z+1/2'
'x+1/2,-y+1/2,-z+1/2'
'-x+1/2,y+1/2,z+1/2'
'-x,y+1/2,-z'
'x,-y+1/2,z'
loop_
_atom_site_label
_atom_site_type_symbol
_atom_site_fract_x
_atom_site_fract_y
_atom_site_fract_z
Ba1 Ba 0.141 0.250 0.090
Na1 Na 0.029 0.037 0.238
Nd1 Nd 0.213 0.557 0.881
Si1 Si 0.075 0.137 0.619
Si2 Si 0.149 0.633 0.382
C1 C 0.099 0.750 0.877
O1 O 0.038 0.617 0.443
O2 O 0.055 0.667 0.883
O3 O 0.082 0.250 0.707
O4 O 0.101 0.064 0.793
O5 O 0.134 0.126 0.424
O6 O 0.168 0.750 0.332
O7 O 0.172 0.561 0.204
O8 O 0.191 0.750 0.867
O9 O 0.221 0.600 0.551

Record 2
First-principles (PBE-GGA) data for a relaxed structure of PmEr2Cu2Ge2, as listed in Alexandria via LeMat-Bulk.

```
data_PmEr2Cu2Ge2
_chemical_formula_sum 'Pm3 Er6 Cu6 Ge6'
_symmetry_space_group_name_H-M 'R -3 m'
_symmetry_Int_Tables_number 166
_symmetry_space_group_name_Hall '-R 3 2"'
_cell_length_a 4.3065
_cell_length_b 4.3065
_cell_length_c 27.7930
_cell_angle_alpha 90.00
_cell_angle_beta 90.00
_cell_angle_gamma 120.00
loop_
_atom_site_label
_atom_site_type_symbol
_atom_site_fract_x
_atom_site_fract_y
_atom_site_fract_z
Pm1 Pm 0.0000 0.0000 0.0000
Er1 Er 0.0000 0.0000 0.1273
Cu1 Cu 0.0000 0.0000 0.4042
Ge1 Ge 0.0000 0.0000 0.2604
```

Record 3
First-principles (PBE-GGA) data for a relaxed structure of Hf6Ga5Tc, as listed in Alexandria via LeMat-Bulk.

```
data_Hf6Ga5Tc
_chemical_formula_sum 'Hf12 Ga10 Tc2'
_symmetry_space_group_name_H-M 'C m m m'
_symmetry_Int_Tables_number 65
_symmetry_space_group_name_Hall '-C 2 2'
_cell_length_a 4.302
_cell_length_b 12.991
_cell_length_c 7.840
_cell_angle_alpha 90.00
_cell_angle_beta 90.00
_cell_angle_gamma 90.00
loop_
_atom_site_label
_atom_site_type_symbol
_atom_site_fract_x
_atom_site_fract_y
_atom_site_fract_z
Hf1 Hf 0.000 0.000 0.247
Hf2 Hf 0.000 0.334 0.239
Ga1 Ga 0.000 0.156 0.000
Ga2 Ga 0.000 0.169 0.500
Ga3 Ga 0.000 0.500 0.500
Tc1 Tc 0.000 0.500 0.000
```

Record 4
# Pr4Ga2Cl | Alexandria via LeMat-Bulk | PBE-GGA | optimized geometry
# Energy relative to the elements, uncorrected (eV per formula unit): -5.39
data_Pr4Ga2Cl
_chemical_formula_sum 'Pr8 Ga4 Cl2'
_symmetry_space_group_name_H-M 'C 1 2/m 1'
_symmetry_Int_Tables_number 12
_cell_length_a 12.696
_cell_length_b 4.346
_cell_length_c 8.963
_cell_angle_alpha 90.00
_cell_angle_beta 126.50
_cell_angle_gamma 90.00
loop_
_symmetry_equiv_pos_as_xyz
'x,y,z'
'-x,-y,-z'
'-x,y,-z'
'x,-y,z'
'x+1/2,y+1/2,z'
'-x+1/2,-y+1/2,-z'
'-x+1/2,y+1/2,-z'
'x+1/2,-y+1/2,z'
loop_
_atom_site_label
_atom_site_type_symbol
_atom_site_fract_x
_atom_site_fract_y
_atom_site_fract_z
Pr1 Pr 0.085 0.000 0.381
Pr2 Pr 0.179 0.500 0.085
Ga1 Ga 0.118 0.500 0.666
Cl1 Cl 0.000 0.000 0.000

Record 5
First-principles (PBE-GGA) data for a relaxed structure of NpGa4Cu2Ir, as listed in Alexandria via LeMat-Bulk.

```
data_NpGa4Cu2Ir
_chemical_formula_sum 'Np3 Ga12 Cu6 Ir3'
_symmetry_space_group_name_H-M 'R -3 m'
_symmetry_Int_Tables_number 166
_symmetry_space_group_name_Hall '-R 3 2"'
_cell_length_a 4.1987
_cell_length_b 4.1987
_cell_length_c 26.3945
_cell_angle_alpha 90.00
_cell_angle_beta 90.00
_cell_angle_gamma 120.00
loop_
_atom_site_label
_atom_site_type_symbol
_atom_site_fract_x
_atom_site_fract_y
_atom_site_fract_z
Np1 Np 0.0000 0.0000 0.0000
Ga1 Ga 0.0000 0.0000 0.1289
Ga2 Ga 0.0000 0.0000 0.4000
Cu1 Cu 0.0000 0.0000 0.2407
Ir1 Ir 0.0000 0.0000 0.5000
```

Record 6
First-principles (PBE-GGA) data for a relaxed structure of Mg2BeNi, as listed in Alexandria via LeMat-Bulk.

```
data_Mg2BeNi
_chemical_formula_sum 'Mg4 Be2 Ni2'
_symmetry_space_group_name_H-M 'I -4 m 2'
_symmetry_Int_Tables_number 119
_symmetry_space_group_name_Hall 'I -4 -2'
_cell_length_a 3.758
_cell_length_b 3.758
_cell_length_c 8.037
_cell_angle_alpha 90.00
_cell_angle_beta 90.00
_cell_angle_gamma 90.00
loop_
_atom_site_label
_atom_site_type_symbol
_atom_site_fract_x
_atom_site_fract_y
_atom_site_fract_z
Mg1 Mg 0.000 0.000 0.000
Mg2 Mg 0.000 0.500 0.250
Be1 Be 0.000 0.000 0.500
Ni1 Ni 0.000 0.500 0.750
```

Record 7
# Ca2ZrW | Alexandria via LeMat-Bulk | PBE-GGA | optimized geometry
# ΔE to the lowest computed polymorph (meV per atom): 144
data_Ca2ZrW
_chemical_formula_sum 'Ca4 Zr2 W2'
_symmetry_space_group_name_H-M 'C m m 2'
_symmetry_Int_Tables_number 35
_cell_length_a 3.788
_cell_length_b 5.232
_cell_length_c 10.688
_cell_angle_alpha 90.00
_cell_angle_beta 90.00
_cell_angle_gamma 90.00
loop_
_symmetry_equiv_pos_as_xyz
'x,y,z'
'-x,-y,z'
'-x,y,z'
'x,-y,z'
'x+1/2,y+1/2,z'
'-x+1/2,-y+1/2,z'
'-x+1/2,y+1/2,z'
'x+1/2,-y+1/2,z'
loop_
_atom_site_label
_atom_site_type_symbol
_atom_site_fract_x
_atom_site_fract_y
_atom_site_fract_z
Ca1 Ca 0.000 0.000 0.000
Ca2 Ca 0.000 0.500 0.316
Zr1 Zr 0.000 0.000 0.595
W1 W 0.000 0.500 0.775

Record 8
# YMn2Cr | Alexandria via LeMat-Bulk | PBE-GGA | optimized geometry
# ΔE to the lowest computed polymorph (meV per atom): 401
data_YMn2Cr
_chemical_formula_sum 'Y2 Mn4 Cr2'
_symmetry_space_group_name_H-M 'I -4 m 2'
_symmetry_Int_Tables_number 119
_symmetry_space_group_name_Hall 'I -4 -2'
_cell_length_a 4.234
_cell_length_b 4.234
_cell_length_c 8.230
_cell_angle_alpha 90.00
_cell_angle_beta 90.00
_cell_angle_gamma 90.00
loop_
_atom_site_label
_atom_site_type_symbol
_atom_site_fract_x
_atom_site_fract_y
_atom_site_fract_z
Y1 Y 0.000 0.000 0.000
Mn1 Mn 0.000 0.000 0.500
Mn2 Mn 0.000 0.500 0.250
Cr1 Cr 0.000 0.500 0.750

Record 9
# Rb2Hf2CuTe6 | Alexandria via LeMat-Bulk | PBE-GGA | optimized geometry
# Energy relative to the elements, uncorrected (eV per formula unit): -7.69
data_Rb2Hf2CuTe6
_chemical_formula_sum 'Rb4 Hf4 Cu2 Te12'
_symmetry_space_group_name_H-M 'C 1 2/m 1'
_symmetry_Int_Tables_number 12
_cell_length_a 7.068
_cell_length_b 12.587
_cell_length_c 9.170
_cell_angle_alpha 90.00
_cell_angle_beta 105.52
_cell_angle_gamma 90.00
loop_
_symmetry_equiv_pos_as_xyz
'x,y,z'
'-x,-y,-z'
'-x,y,-z'
'x,-y,z'
'x+1/2,y+1/2,z'
'-x+1/2,-y+1/2,-z'
'-x+1/2,y+1/2,-z'
'x+1/2,-y+1/2,z'
loop_
_atom_site_label
_atom_site_type_symbol
_atom_site_fract_x
_atom_site_fract_y
_atom_site_fract_z
Rb1 Rb 0.000 0.164 0.000
Hf1 Hf 0.000 0.331 0.500
Cu1 Cu 0.000 0.000 0.500
Te1 Te 0.233 0.166 0.687
Te2 Te 0.239 0.500 0.677

Record 10
# DyYSbO2 | Alexandria via LeMat-Bulk | PBE-GGA | optimized geometry
# Energy relative to the elements, uncorrected (eV per formula unit): -13.50
data_DyYSbO2
_chemical_formula_sum 'Dy2 Y2 Sb2 O4'
_symmetry_space_group_name_H-M 'I 4 m m'
_symmetry_Int_Tables_number 107
_symmetry_space_group_name_Hall 'I 4 -2'
_cell_length_a 3.863
_cell_length_b 3.863
_cell_length_c 13.375
_cell_angle_alpha 90.00
_cell_angle_beta 90.00
_cell_angle_gamma 90.00
loop_
_atom_site_label
_atom_site_type_symbol
_atom_site_fract_x
_atom_site_fract_y
_atom_site_fract_z
Dy1 Dy 0.000 0.000 0.000
Y1 Y 0.000 0.000 0.332
Sb1 Sb 0.000 0.000 0.666
O1 O 0.000 0.500 0.417

| no. | total energy (eV for the cell shown) |
| --- | --- |
| 1 | -753.9 |
| 2 | -104.2 |
| 3 | -180.3 |
| 4 | -64.8 |
| 5 | -129.2 |
| 6 | -24.8 |
| 7 | -46.8 |
| 8 | -64.1 |
| 9 | -105.0 |
| 10 | -77.2 |